1.
This record from OQMD via LeMat-Bulk describes crystalline BeAlNiIr at its relaxed geometry. The functional is PBE-GGA.

Cell and atoms, written as CIF:
```
data_BeAlNiIr
_space_group_name_H-M_alt 'F -4 3 m'
_space_group_IT_number 216
_space_group_name_Hall 'F -4 2 3'
_cell_length_a 5.759
_cell_length_b 5.759
_cell_length_c 5.759
_cell_angle_alpha 90.00
_cell_angle_beta 90.00
_cell_angle_gamma 90.00
loop_
_atom_site_label
_atom_site_type_symbol
_atom_site_fract_x
_atom_site_fract_y
_atom_site_fract_z
_atom_site_occupancy
Be1 Be 0.000 0.000 0.000 1
Al1 Al 0.250 0.250 0.250 1
Ni1 Ni 0.000 0.000 0.500 1
Ir1 Ir 0.250 0.250 0.750 1
```

Values from the calculation:
E ... -93.25 eV per cell
Magnetization ... 0.01 Bohr magnetons per cell


2.
This record from OQMD via LeMat-Bulk describes crystalline Pr3Al2HgPdAu2 at its relaxed geometry. The functional is PBE-GGA.

Cell and atoms, written as CIF:
```
data_Pr3Al2HgPdAu2
_space_group_name_H-M_alt 'A m m 2'
_space_group_IT_number 38
_space_group_name_Hall 'A 2 -2'
_cell_length_a 4.101
_cell_length_b 13.036
_cell_length_c 7.842
_cell_angle_alpha 90.00
_cell_angle_beta 90.00
_cell_angle_gamma 90.00
loop_
_atom_site_label
_atom_site_type_symbol
_atom_site_fract_x
_atom_site_fract_y
_atom_site_fract_z
_atom_site_occupancy
Pr1 Pr 0.000 0.000 0.000 1
Pr2 Pr 0.000 0.203 0.376 1
Al1 Al 0.500 0.115 0.706 1
Hg1 Hg 0.500 0.000 0.342 1
Pd1 Pd 0.000 0.000 0.618 1
Au1 Au 0.500 0.176 0.076 1
```

Values from the calculation:
E ... -80.71 eV per cell
Magnetization ... 0.00 Bohr magnetons per cell


3.
This record from OQMD via LeMat-Bulk describes crystalline LaAgAu at its relaxed geometry. The functional is PBE-GGA.

Cell and atoms, written as CIF:
```
data_LaAgAu
_space_group_name_H-M_alt 'F -4 3 m'
_space_group_IT_number 216
_space_group_name_Hall 'F -4 2 3'
_cell_length_a 6.914
_cell_length_b 6.914
_cell_length_c 6.914
_cell_angle_alpha 90.00
_cell_angle_beta 90.00
_cell_angle_gamma 90.00
loop_
_atom_site_label
_atom_site_type_symbol
_atom_site_fract_x
_atom_site_fract_y
_atom_site_fract_z
_atom_site_occupancy
La1 La 0.000 0.000 0.000 1
Ag1 Ag 0.000 0.000 0.500 1
Au1 Au 0.250 0.250 0.750 1
```

Values from the calculation:
DFT formation energy ... -477 meV/atom
E ... -49.78 eV per cell
ΔE to the lowest computed polymorph ... 108 meV per atom
Magnetization ... 0.00 Bohr magnetons per cell


4.
This record from OQMD via LeMat-Bulk describes crystalline KLuNO at its relaxed geometry. The functional is PBE-GGA.

Cell and atoms, written as CIF:
```
data_KLuNO
_space_group_name_H-M_alt 'P 4/n m m'
_space_group_IT_number 129
_cell_length_a 3.848
_cell_length_b 3.848
_cell_length_c 8.643
_cell_angle_alpha 90.00
_cell_angle_beta 90.00
_cell_angle_gamma 90.00
loop_
_space_group_symop_operation_xyz
'x,y,z'
'-x,-y,-z'
'-y+1/2,x,z'
'y+1/2,-x,-z'
'-x+1/2,-y+1/2,z'
'x+1/2,y+1/2,-z'
'y,-x+1/2,z'
'-y,x+1/2,-z'
'x+1/2,-y,-z'
'-x+1/2,y,z'
'-y,-x,-z'
'y,x,z'
'-x,y+1/2,-z'
'x,-y+1/2,z'
'y+1/2,x+1/2,-z'
'-y+1/2,-x+1/2,z'
loop_
_atom_site_label
_atom_site_type_symbol
_atom_site_fract_x
_atom_site_fract_y
_atom_site_fract_z
_atom_site_occupancy
K1 K 0.250 0.750 0.000 1
Lu1 Lu 0.250 0.250 0.381 1
N1 N 0.250 0.250 0.786 1
O1 O 0.250 0.750 0.500 1
```

Values from the calculation:
E ... -44.83 eV per cell
ΔE to the lowest computed polymorph ... 477 meV per atom
Magnetization ... 2.00 Bohr magnetons per cell


5.
This record from OQMD via LeMat-Bulk describes crystalline La2NdNi2Pt7 at its relaxed geometry. The functional is PBE-GGA.

Cell and atoms, written as CIF:
```
data_La2NdNi2Pt7
_space_group_name_H-M_alt 'R -3 m'
_space_group_IT_number 166
_space_group_name_Hall '-R 3 2"'
_cell_length_a 5.4586
_cell_length_b 5.4586
_cell_length_c 26.0673
_cell_angle_alpha 90.00
_cell_angle_beta 90.00
_cell_angle_gamma 120.00
loop_
_atom_site_label
_atom_site_type_symbol
_atom_site_fract_x
_atom_site_fract_y
_atom_site_fract_z
_atom_site_occupancy
La1 La 0.0000 0.0000 0.1393 1
Nd1 Nd 0.0000 0.0000 0.0000 1
Ni1 Ni 0.0000 0.0000 0.3330 1
Pt1 Pt 0.0000 0.0000 0.5000 1
Pt2 Pt 0.0024 0.5012 0.9210 1
```

Values from the calculation:
DFT formation energy ... -861 meV/atom
E ... -235.40 eV per cell
Magnetization ... 3.21 Bohr magnetons per cell


6.
This record from OQMD via LeMat-Bulk describes crystalline CuSbTeW at its relaxed geometry. The functional is PBE-GGA.

Cell and atoms, written as CIF:
```
data_CuSbTeW
_space_group_name_H-M_alt 'F -4 3 m'
_space_group_IT_number 216
_space_group_name_Hall 'F -4 2 3'
_cell_length_a 6.748
_cell_length_b 6.748
_cell_length_c 6.748
_cell_angle_alpha 90.00
_cell_angle_beta 90.00
_cell_angle_gamma 90.00
loop_
_atom_site_label
_atom_site_type_symbol
_atom_site_fract_x
_atom_site_fract_y
_atom_site_fract_z
_atom_site_occupancy
Cu1 Cu 0.000 0.000 0.000 1
Sb1 Sb 0.250 0.250 0.750 1
Te1 Te 0.250 0.250 0.250 1
W1 W 0.000 0.000 0.500 1
```

Values from the calculation:
E ... -85.15 eV per cell
ΔE to the lowest computed polymorph ... 0 meV per atom
Magnetization ... 3.45 Bohr magnetons per cell